Computed, not measured: a PBEsol-optimized structure of Zn2FeTc at the SCAN level of DFT.

Geometry as POSCAR:
```
Zn2FeTc
1.0
3.6390 0.0000 0.0000
0.0000 3.6390 0.0000
-1.8195 -1.8195 3.9129
Fe Tc Zn
1 1 2
Direct
0.5000 0.5000 0.0000
0.0000 0.0000 0.0000
0.2500 0.7500 0.5000
0.7500 0.2500 0.5000
```

Summary:
- Energy of formation: 0.041 eV per atom
- Energy: -20.0136 eV per atom
- D(E_F): 1.3 states/eV/cell
- Crystal system: tetragonal
- Space group: No. 139
- Polymorph energy (0 for the lowest one): 0.07 eV per formula unit